Entry 1:
A plane-wave DFT calculation with PBE-GGA was carried out for TlCuPt2 after structural relaxation.

DFT formation energy (kJ per mole of atoms): 5
Space group: Cm, No. 8

```
TlCuPt2
1.0
-3.204 3.725 -0.220
-4.573 1.434 1.107
0.798 2.060 4.380
Pt Cu Tl
2 1 1
direct
0.999 0.999 0.025
0.745 0.745 0.748
0.258 0.258 0.213
0.498 0.498 0.513
```

=====

Entry 2:
A plane-wave DFT calculation with PBE-GGA was carried out for Mn2NiHAu after structural relaxation.

Raw total energy (eV per atom): -5.990
Space group: P4/mmm, No. 123

```
Mn2NiHAu
1.0
3.861 0.000 0.000
0.000 3.861 0.000
0.000 0.000 3.958
H Ni Mn Au
1 1 2 1
direct
0.000 0.000 0.000
0.500 0.500 0.500
0.000 0.500 0.000
0.500 0.000 0.000
0.000 0.000 0.500
```

=====

Entry 3:
A plane-wave DFT calculation with PBE-GGA was carried out for TmGaNiAu after structural relaxation.

DFT formation energy (kJ per mole of atoms): -48
Space group: F-43m, No. 216

```
TmGaNiAu
1.0
-3.312 2.378 -2.203
-3.706 1.516 2.333
-0.531 4.531 0.816
Ga Tm Au Ni
1 1 1 1
direct
0.500 0.500 0.500
0.000 0.000 0.000
0.750 0.750 0.750
0.250 0.250 0.250
```

=====

Entry 4:
A plane-wave DFT calculation with PBE-GGA was carried out for Pm12GaPt6 after structural relaxation.

DFT formation energy (kJ per mole of atoms): -69
Space group: R-3, No. 148

```
Pm12GaPt6
1.0
-5.738 5.958 2.041
-2.373 -6.283 5.241
6.833 2.960 4.139
Pt Pm Ga
6 12 1
direct
0.689 0.863 0.388
0.311 0.137 0.612
0.388 0.689 0.863
0.137 0.612 0.311
0.612 0.311 0.137
0.863 0.388 0.689
0.065 0.674 0.927
0.823 0.578 0.421
0.073 0.935 0.326
0.935 0.326 0.073
0.422 0.579 0.177
0.674 0.927 0.065
0.326 0.073 0.935
0.421 0.823 0.578
0.177 0.422 0.579
0.927 0.065 0.674
0.579 0.177 0.422
0.578 0.421 0.823
0.000 0.000 0.000
```

=====

Entry 5:
A plane-wave DFT calculation with PBE-GGA was carried out for Sc4CdGa2Cu after structural relaxation.

DFT formation energy (kJ per mole of atoms): -44
Space group: R-3m, No. 166

```
Sc4CdGa2Cu
1.0
-0.947 4.371 1.705
0.696 0.963 4.637
7.251 3.973 0.558
Sc Ga Cd Cu
4 2 1 1
direct
0.870 0.870 0.390
0.130 0.130 0.610
0.381 0.381 0.857
0.619 0.619 0.143
0.252 0.252 0.243
0.748 0.748 0.757
0.000 0.000 0.000
0.500 0.500 0.500
```

=====

Entry 6:
A plane-wave DFT calculation with PBE-GGA was carried out for Cd4F after structural relaxation.

Energy relative to the elements, uncorrected (eV per atom): -0.317
Space group: Pm-3m, No. 221

```
Cd4F
1.0
4.884 0.000 0.000
0.000 4.884 0.000
0.000 0.000 4.884
F Cd
1 4
direct
0.500 0.500 0.500
0.500 0.000 0.500
0.000 0.000 0.000
0.000 0.500 0.500
0.500 0.500 0.000
```

=====

Entry 7:
A plane-wave DFT calculation with PBE-GGA was carried out for ZnHgMo after structural relaxation.

DFT formation energy (kJ per mole of atoms): 37
Space group: Fmm2, No. 42

```
ZnHgMo
1.0
-5.141 2.198 -4.378
-3.974 0.021 -5.727
-2.350 -1.097 1.094
Zn Mo Hg
1 1 1
direct
0.325 0.325 0.675
0.675 0.675 0.325
0.000 0.000 0.000
```

=====

Entry 8:
A plane-wave DFT calculation with PBE-GGA was carried out for CeScI2 after structural relaxation.

Energy relative to the elements, uncorrected (eV per atom): -0.517
Space group: R-3m, No. 166

```
CeScI2
1.0
-2.685 2.557 0.789
-3.492 -1.145 0.929
0.712 0.249 10.721
I Ce Sc
2 1 1
direct
0.104 0.104 0.687
0.896 0.896 0.313
0.000 0.000 0.000
0.500 0.500 0.500
```

=====

Entry 9:
A plane-wave DFT calculation with PBE-GGA was carried out for Hf6CoTc5 after structural relaxation.

DFT formation energy (kJ per mole of atoms): -47
Space group: Immm, No. 71

```
Hf6CoTc5
1.0
4.409 0.019 -1.287
-0.889 5.690 -2.963
-0.075 0.441 7.948
Hf Tc Co
6 5 1
direct
0.834 0.084 0.668
0.166 0.416 0.332
0.500 0.751 0.000
0.500 0.249 0.000
0.166 0.916 0.332
0.834 0.584 0.668
0.000 0.500 0.000
0.665 0.165 0.330
0.335 0.835 0.670
0.334 0.334 0.667
0.666 0.666 0.333
0.000 0.000 0.000
```

=====

Entry 10:
A plane-wave DFT calculation with PBE-GGA was carried out for ZrSc2In after structural relaxation.

DFT formation energy (kJ per mole of atoms): -20
Space group: P2/m, No. 10

```
ZrSc2In
1.0
4.413 0.000 0.000
0.000 3.243 0.021
0.000 3.222 6.468
Zr In Sc
1 1 2
direct
0.500 0.250 0.250
0.500 0.750 0.750
0.000 0.505 0.494
0.000 0.995 0.006
```

=====

Entry 11:
A plane-wave DFT calculation with PBE-GGA was carried out for Rb3Tl5Sn2 after structural relaxation.

DFT formation energy (kJ per mole of atoms): -9
Space group: P4/mbm, No. 127

```
Rb3Tl5Sn2
1.0
4.752 0.000 0.000
0.000 12.830 0.000
0.000 0.000 12.830
Sn Rb Tl
4 6 10
direct
0.000 0.125 0.625
0.000 0.625 0.875
0.000 0.875 0.375
0.000 0.375 0.125
0.000 0.500 0.500
0.000 0.827 0.673
0.000 0.673 0.173
0.000 0.173 0.327
0.000 0.000 0.000
0.000 0.327 0.827
0.500 0.228 0.065
0.500 0.065 0.772
0.500 0.935 0.228
0.500 0.435 0.272
0.500 0.772 0.935
0.500 0.728 0.435
0.500 0.000 0.500
0.500 0.500 0.000
0.500 0.565 0.728
0.500 0.272 0.565
```

=====

Entry 12:
A plane-wave DFT calculation with PBE-GGA was carried out for Re2GeBr after structural relaxation.

Energy relative to the elements, uncorrected (eV per atom): 1.050
Space group: Fm-3m, No. 225

```
Re2GeBr
1.0
-0.588 -4.235 -1.195
-2.915 -2.538 2.183
-3.776 -1.245 -1.975
Re Br Ge
2 1 1
direct
0.250 0.250 0.250
0.750 0.750 0.750
0.500 0.500 0.500
0.000 0.000 0.000
```

=====

no.,size of the total moment (Bohr magnetons per cell)
1,0.00
2,7.59
3,0.00
4,0.00
5,0.00
6,0.00
7,0.00
8,2.19
9,0.00
10,0.00
11,0.00
12,0.00